DFT (PBE-GGA) results for a geometry-optimized PuInPt structure.

abc: 4.9014 4.9014 3.0431
angles: 90.00 90.00 120.00
Space group P-6m2 (No. 187)
Symmetry-distinct sites (fractional):
Pu (0.0000, 0.0000, 0.0000) x1
In (0.6667, 0.3333, 0.5000) x1
Pt (0.3333, 0.6667, 0.5000) x1

Output
The energy is -24.6 eV per cell.